This record from the Alexandria database describes a geometry-optimized InH2Pb structure. The functional is PBE-GGA.

Cell: 3.5165 3.5165 18.5184 Å, 90.00 90.00 120.00°
Space group R3m (No. 160, hexagonal axes)
Symmetry-distinct sites (fractional):
In 0.0000 0.0000 0.0000 x3
H 0.0000 0.0000 0.3848 x3
H 0.0000 0.0000 0.6219 x3
Pb 0.0000 0.0000 0.1725 x3

Values from the calculation:
Final energy: -2.8526 eV per atom

---

This record from the Alexandria database describes a geometry-optimized LiPrC structure. The functional is PBE-GGA.

Cell: 5.9619 5.9619 5.9619 Å, 90.00 90.00 90.00°
Space group F-43m (No. 216)
Symmetry-distinct sites (fractional):
Li 0.0000 0.0000 0.0000 x4
Pr 0.0000 0.0000 0.5000 x4
C 0.2500 0.2500 0.2500 x4

Values from the calculation:
Final energy: -5.2399 eV per atom
DFT formation energy: 66 meV per atom

---

This record from the Alexandria database describes a geometry-optimized Pr4TcSn structure. The functional is PBE-GGA.

Cell: 8.9118 13.7932 6.4092 Å, 90.00 109.18 90.00°
Space group C2/c (No. 15)
Symmetry-distinct sites (fractional):
Pr 0.1101 0.1691 0.0513 x8
Pr 0.2142 0.4259 0.3822 x8
Tc 0.0000 0.0012 0.7500 x4
Sn 0.0000 0.3751 0.7500 x4

Values from the calculation:
Final energy: -5.8445 eV per atom
DFT formation energy: -263 meV per atom

---

This record from the Alexandria database describes a geometry-optimized PrSn3Ir3 structure. The functional is PBE-GGA.

Cell: 7.2253 7.2253 19.5068 Å, 90.00 90.00 120.00°
Space group R-3 (No. 148, hexagonal axes)
Symmetry-distinct sites (fractional):
Pr 0.0000 0.0000 0.1567 x6
Sn 0.0352 0.4218 0.3802 x18
Ir 0.0158 0.2393 0.5736 x18

Values from the calculation:
Final energy: -6.4697 eV per atom
DFT formation energy: -274 meV per atom

---

This record from the Alexandria database describes a geometry-optimized SrFe2Ag structure. The functional is PBE-GGA.

Cell: 7.1314 4.1221 6.2634 Å, 90.00 112.39 90.00°
Space group Cm (No. 8)
Symmetry-distinct sites (fractional):
Sr 0.0000 0.0000 0.0000 x2
Fe 0.2976 0.5000 0.3921 x2
Fe 0.4647 0.0000 0.3930 x2
Ag 0.2013 0.0000 0.6026 x2

Values from the calculation:
Final energy: -4.9728 eV per atom
DFT formation energy: 392 meV per atom

---

This record from the Alexandria database describes a geometry-optimized Be2NiIr2 structure. The functional is PBE-GGA.

Cell: 6.1724 6.1724 2.8989 Å, 90.00 90.00 90.00°
Space group P4/mbm (No. 127)
Symmetry-distinct sites (fractional):
Be 0.1271 0.3729 0.0000 x4
Ni 0.0000 0.0000 0.0000 x2
Ir 0.1699 0.6699 0.5000 x4

Values from the calculation:
Final energy: -6.5275 eV per atom
DFT formation energy: -336 meV per atom

---

This record from the Alexandria database describes a geometry-optimized TlP2Ru structure. The functional is PBE-GGA.

Cell: 5.9585 5.9585 10.7817 Å, 90.00 90.00 90.00°
Space group I-42d (No. 122)
Symmetry-distinct sites (fractional):
Tl 0.0000 0.0000 0.0000 x4
P 0.1635 0.2500 0.6250 x8
Ru 0.0000 0.0000 0.5000 x4

Values from the calculation:
Final energy: -5.5787 eV per atom
DFT formation energy: 37 meV per atom

---

This record from the Alexandria database describes a geometry-optimized SmSc2GeN4 structure. The functional is PBE-GGA.

Cell: 3.3374 11.0567 11.0903 Å, 90.00 90.00 90.00°
Space group Cmcm (No. 63)
Symmetry-distinct sites (fractional):
Sm 0.0000 0.1000 0.2500 x4
Sc 0.0000 0.3709 0.0382 x8
Ge 0.0000 0.1621 0.7500 x4
N 0.0000 0.0000 0.0000 x4
N 0.0000 0.2670 0.6203 x8
N 0.0000 0.4262 0.2500 x4

Values from the calculation:
Final energy: -8.0450 eV per atom
E_form (uncorrected): -1.13 eV per atom

---

This record from the Alexandria database describes a geometry-optimized HfBi2Pb structure. The functional is PBE-GGA.

Cell: 3.8425 3.8425 7.6517 Å, 90.00 90.00 90.00°
Space group P4/mmm (No. 123)
Symmetry-distinct sites (fractional):
Hf 0.0000 0.0000 0.0000 x1
Bi 0.5000 0.5000 0.2110 x2
Pb 0.0000 0.0000 0.5000 x1

Values from the calculation:
Final energy: -5.3205 eV per atom
DFT formation energy: 35 meV per atom

---

This record from the Alexandria database describes a geometry-optimized Ti6Al2N structure. The functional is PBE-GGA.

Cell: 5.8288 5.8288 8.0812 Å, 90.00 90.00 90.00°
Space group I4/mmm (No. 139)
Symmetry-distinct sites (fractional):
Ti 0.0000 0.0000 0.2400 x4
Ti 0.2464 0.2464 0.0000 x8
Al 0.0000 0.5000 0.2500 x4
N 0.0000 0.0000 0.5000 x2

Values from the calculation:
Final energy: -7.6533 eV per atom
E_form (uncorrected): -0.63 eV per atom

---

This record from the Alexandria database describes a geometry-optimized K2NiAs2Pd structure. The functional is PBE-GGA.

Cell: 6.2274 14.8033 6.2694 Å, 90.00 90.00 90.00°
Space group Ibam (No. 72)
Symmetry-distinct sites (fractional):
K 0.2383 0.1706 0.0000 x8
Ni 0.0000 0.5000 0.2500 x4
As 0.2237 0.4242 0.0000 x8
Pd 0.0000 0.0000 0.2500 x4

Values from the calculation:
Final energy: -4.1204 eV per atom
DFT formation energy: -376 meV per atom

---

This record from the Alexandria database describes a geometry-optimized CaHAu2 structure. The functional is PBE-GGA.

Cell: 6.2897 6.2897 7.5362 Å, 90.00 90.00 90.00°
Space group I-42d (No. 122)
Symmetry-distinct sites (fractional):
Ca 0.0000 0.0000 0.0000 x4
H 0.0000 0.0000 0.5000 x4
Au 0.0980 0.2500 0.6250 x8

Values from the calculation:
Final energy: -3.1820 eV per atom

---

This record from the Alexandria database describes a geometry-optimized BaMn2Se structure. The functional is PBE-GGA.

Cell: 4.9634 4.9634 17.6127 Å, 90.00 90.00 90.00°
Space group I4_1/amd (No. 141, origin choice 2)
Symmetry-distinct sites (fractional):
Ba 0.0000 0.2500 0.3750 x4
Mn 0.0000 0.0000 0.0000 x8
Se 0.0000 0.2500 0.8750 x4

Values from the calculation:
Final energy: -5.8846 eV per atom
E_form (uncorrected): 0.05 eV per atom

---

This record from the Alexandria database describes a geometry-optimized BeAgOs2 structure. The functional is PBE-GGA.

Cell: 4.2610 4.2610 3.0330 Å, 90.00 90.00 90.00°
Space group P4/mmm (No. 123)
Symmetry-distinct sites (fractional):
Be 0.0000 0.0000 0.0000 x1
Ag 0.5000 0.5000 0.0000 x1
Os 0.0000 0.5000 0.5000 x2

Values from the calculation:
Final energy: -6.4241 eV per atom
DFT formation energy: 835 meV per atom

---

This record from the Alexandria database describes a geometry-optimized LiNd2Hf structure. The functional is PBE-GGA.

Cell: 3.2929 3.2929 35.9324 Å, 90.00 90.00 120.00°
Space group R-3m (No. 166, hexagonal axes)
Symmetry-distinct sites (fractional):
Li 0.0000 0.0000 0.0000 x3
Nd 0.0000 0.0000 0.4143 x6
Hf 0.0000 0.0000 0.5000 x3

Values from the calculation:
Final energy: -4.9288 eV per atom
DFT formation energy: 422 meV per atom

---

This record from the Alexandria database describes a geometry-optimized Sr2MnHg structure. The functional is PBE-GGA.

Cell: 3.9718 3.9886 7.8767 Å, 90.00 90.00 90.00°
Space group Pmmm (No. 47)
Symmetry-distinct sites (fractional):
Sr 0.0000 0.0000 0.2475 x2
Mn 0.5000 0.5000 0.0000 x1
Hg 0.5000 0.5000 0.5000 x1

Values from the calculation:
Final energy: -3.1467 eV per atom
DFT formation energy: 62 meV per atom

---

This record from the Alexandria database describes a geometry-optimized NaBiRh structure. The functional is PBE-GGA.

Cell: 6.5307 6.5307 6.5307 Å, 90.00 90.00 90.00°
Space group F-43m (No. 216)
Symmetry-distinct sites (fractional):
Na 0.0000 0.0000 0.0000 x4
Bi 0.0000 0.0000 0.5000 x4
Rh 0.2500 0.2500 0.2500 x4

Values from the calculation:
Final energy: -4.2006 eV per atom
DFT formation energy: -17 meV per atom

---

This record from the Alexandria database describes a geometry-optimized LiMn2Ni structure. The functional is PBE-GGA.

Cell: 8.7539 2.4403 4.1564 Å, 90.00 100.66 90.00°
Space group C2/m (No. 12)
Symmetry-distinct sites (fractional):
Li 0.0000 0.0000 0.0000 x2
Mn 0.2368 0.0000 0.7442 x4
Ni 0.0000 0.5000 0.5000 x2

Values from the calculation:
Final energy: -6.2746 eV per atom
DFT formation energy: 234 meV per atom

---

This record from the Alexandria database describes a geometry-optimized Cd2TcAg structure. The functional is PBE-GGA.

Cell: 9.6167 2.7990 5.4518 Å, 90.00 98.02 90.00°
Space group C2/m (No. 12)
Symmetry-distinct sites (fractional):
Cd 0.2488 0.0000 0.2423 x4
Tc 0.0000 0.5000 0.0000 x2
Ag 0.0000 0.0000 0.5000 x2

Values from the calculation:
Final energy: -3.3817 eV per atom
DFT formation energy: 380 meV per atom

---

This record from the Alexandria database describes a geometry-optimized PHPd6 structure. The functional is PBE-GGA.

Cell: 5.2695 7.1405 7.1956 Å, 113.68 109.12 98.84°
Space group P-1 (No. 2)
Symmetry-distinct sites (fractional):
P 0.1257 0.0857 0.3147 x2
H 0.4454 0.5707 0.7740 x2
Pd 0.0000 0.5000 0.0000 x1
Pd 0.0093 0.2068 0.6214 x2
Pd 0.1431 0.6863 0.7406 x2
Pd 0.2287 0.1663 0.0449 x2
Pd 0.4563 0.6384 0.4207 x2
Pd 0.4591 0.9247 0.2447 x2
Pd 0.5000 0.5000 0.0000 x1

Values from the calculation:
Final energy: -5.2342 eV per atom

---

This record from the Alexandria database describes a geometry-optimized Mg2InSe structure. The functional is PBE-GGA.

Cell: 4.0308 5.9585 4.0277 Å, 90.00 90.00 90.00°
Space group Pmm2 (No. 25)
Symmetry-distinct sites (fractional):
Mg 0.0000 0.0000 0.0000 x1
Mg 0.5000 0.5000 0.4292 x1
In 0.0000 0.5000 0.9270 x1
Se 0.5000 0.0000 0.4801 x1

Values from the calculation:
Final energy: -2.6644 eV per atom
E_form (uncorrected): -0.31 eV per atom

---

This record from the Alexandria database describes a geometry-optimized Mg2CrCd structure. The functional is PBE-GGA.

Cell: 5.8991 9.5726 3.0101 Å, 90.00 109.64 90.00°
Space group C2/m (No. 12)
Symmetry-distinct sites (fractional):
Mg 0.2500 0.2500 0.0000 x4
Cr 0.0000 0.0000 0.5000 x2
Cd 0.0000 0.5000 0.5000 x2

Values from the calculation:
Final energy: -3.1729 eV per atom
DFT formation energy: 259 meV per atom

---

This record from the Alexandria database describes a geometry-optimized Ac2Tl4Hg structure. The functional is PBE-GGA.

Cell: 4.3840 4.3840 29.4600 Å, 90.00 90.00 90.00°
Space group I4/mmm (No. 139)
Symmetry-distinct sites (fractional):
Ac 0.0000 0.0000 0.1498 x4
Tl 0.0000 0.0000 0.4009 x4
Tl 0.0000 0.5000 0.2500 x4
Hg 0.0000 0.0000 0.5000 x2

Values from the calculation:
Final energy: -2.5211 eV per atom
DFT formation energy: 48 meV per atom

---

This record from the Alexandria database describes a geometry-optimized EuTmLu4 structure. The functional is PBE-GGA.

Cell: 9.2711 9.2711 9.2711 Å, 90.00 90.00 90.00°
Space group F-43m (No. 216)
Symmetry-distinct sites (fractional):
Eu 0.0000 0.0000 0.0000 x4
Tm 0.2500 0.2500 0.2500 x4
Lu 0.1238 0.1238 0.6238 x16

Values from the calculation:
Final energy: -5.2088 eV per atom
DFT formation energy: 263 meV per atom

---

This record from the Alexandria database describes a geometry-optimized ZnCd4 structure. The functional is PBE-GGA.

Cell: 5.1593 5.1593 5.1593 Å, 90.00 90.00 90.00°
Space group Pm-3m (No. 221)
Symmetry-distinct sites (fractional):
Zn 0.0000 0.0000 0.0000 x1
Cd 0.0000 0.0000 0.5000 x3
Cd 0.5000 0.5000 0.5000 x1

Values from the calculation:
Final energy: -0.7467 eV per atom
DFT formation energy: 240 meV per atom